[1]
{
  "formula": "ScAl3Pt",
  "functional": "SCAN",
  "state": "single point on PBEsol structure",
  "cell": [[4.703, 0.000, 0.000], [0.000, 4.703, 0.000], [0.000, 0.000, 4.703]],
  "species": ["Sc", "Al", "Al", "Al", "Pt"],
  "frac_coords": [[0.000, 0.000, 0.000], [0.000, 0.500, 0.500], [0.500, 0.000, 0.500], [0.500, 0.500, 0.000], [0.500, 0.500, 0.500]],
  "e_tot_ha_per_atom": -0.80478,
  "m_tot_mub_per_fu": 0.0
}


[2]
{
  "formula": "Ca2BiAu2",
  "functional": "SCAN",
  "state": "single point on PBEsol structure",
  "cell": [[8.060, 0.000, 0.000], [0.000, 8.060, 0.000], [0.000, 0.000, 3.738]],
  "species": ["Ca", "Ca", "Ca", "Ca", "Bi", "Bi", "Au", "Au", "Au", "Au"],
  "frac_coords": [[0.173, 0.327, 0.000], [0.327, 0.827, 0.000], [0.673, 0.173, 0.000], [0.827, 0.673, 0.000], [0.000, 0.000, 0.500], [0.500, 0.500, 0.500], [0.121, 0.621, 0.500], [0.379, 0.121, 0.500], [0.621, 0.879, 0.500], [0.879, 0.379, 0.500]],
  "e_tot_ha_per_atom": -1.76977,
  "m_tot_mub_per_fu": 0.0,
  "relative_energy_mev_per_atom": 0.0
}


[3]
{
  "formula": "AlPt5",
  "functional": "SCAN",
  "state": "single point on PBEsol structure",
  "cell": [[5.186, -1.375, 0.000], [5.186, 1.375, 0.000], [-1.932, 0.000, 6.215]],
  "species": ["Al", "Pt", "Pt", "Pt", "Pt", "Pt"],
  "frac_coords": [[0.000, 0.000, 0.000], [0.041, 0.041, 0.580], [0.343, 0.343, 0.690], [0.383, 0.383, 0.242], [0.663, 0.663, 0.322], [0.700, 0.700, 0.924]],
  "e_tot_ha_per_atom": -2.21351,
  "m_tot_mub_per_fu": 0.0
}


[4]
{
  "formula": "Sc5Mn",
  "functional": "SCAN",
  "state": "single point on PBEsol structure",
  "cell": [[5.686, 0.000, 0.000], [-2.843, 4.924, 0.000], [0.000, 0.000, 5.194]],
  "species": ["Sc", "Sc", "Sc", "Sc", "Sc", "Mn"],
  "frac_coords": [[0.000, 0.500, 0.000], [0.333, 0.667, 0.500], [0.500, 0.000, 0.000], [0.500, 0.500, 0.000], [0.667, 0.333, 0.500], [0.000, 0.000, 0.500]],
  "e_tot_ha_per_atom": -0.52813,
  "m_tot_mub_per_fu": 3.2,
  "relative_energy_mev_per_atom": 556.8
}